Record 1
An optimized crystal structure of Nb2ZnGa4, computed with PBE-GGA.

Geometry as extended XYZ:
```
7
Lattice="3.748 0.000 0.000 0.000 3.748 0.000 0.000 0.000 8.803" Properties=species:S:1:pos:R:3 pbc="T T T"
Nb 0.000 1.874 2.161
Nb 1.874 0.000 6.642
Zn 0.000 0.000 4.402
Ga 0.000 0.000 0.000
Ga 0.000 1.874 6.251
Ga 1.874 0.000 2.552
Ga 1.874 1.874 0.000
```

Calculated values
**Total moment**: 0.00 μB per formula unit
**Electronic total energy**: -4.856 eV per atom
**Energy of formation from the pure elements**: -0.067 eV/atom
**Space-group type**: P-4m2, No. 115
**V**: 123.7 Å³/cell

***

Record 2
An optimized crystal structure of Nb2ZnGa2, computed with PBE-GGA.

Geometry as extended XYZ:
```
5
Lattice="2.126 -6.545 0.000 2.126 6.545 0.000 0.000 0.000 2.935" Properties=species:S:1:pos:R:3 pbc="T T T"
Nb 2.126 5.184 0.000
Nb 2.126 -5.184 0.000
Zn 2.126 0.000 1.468
Ga 2.126 2.558 1.468
Ga 2.126 -2.558 1.468
```

Calculated values
**Total moment**: 0.00 μB per formula unit
**Electronic total energy**: -5.660 eV per atom
**Energy of formation from the pure elements**: -0.167 eV/atom
**Space-group type**: Cmmm, No. 65
**V**: 81.7 Å³/cell

***

Record 3
An optimized crystal structure of NbZn2Ga, computed with PBE-GGA.

Geometry as extended XYZ:
```
8
Lattice="-3.560 3.560 2.679 3.560 -3.560 2.679 3.560 3.560 -2.679" Properties=species:S:1:pos:R:3 pbc="T T T"
Nb 0.000 0.000 0.000
Nb 0.000 3.560 1.339
Zn 1.780 1.941 -0.670
Zn 5.179 1.780 0.670
Zn 1.780 1.619 2.009
Zn -1.619 1.780 3.348
Ga 3.560 0.000 1.339
Ga 0.000 0.000 2.679
```

Calculated values
**Total moment**: 0.00 μB per formula unit
**Electronic total energy**: -3.751 eV per atom
**Energy of formation from the pure elements**: 0.160 eV/atom
**Space-group type**: I-42d, No. 122
**V**: 135.8 Å³/cell

***

Record 4
An optimized crystal structure of NbZn2Ga, computed with PBE-GGA.

Geometry as extended XYZ:
```
4
Lattice="2.031 1.173 4.553 -2.031 1.173 4.553 0.000 -2.346 4.553" Properties=species:S:1:pos:R:3 pbc="T T T"
Nb 0.000 0.000 0.000
Zn 0.000 0.000 3.117
Zn 0.000 0.000 10.543
Ga 0.000 0.000 6.830
```

Calculated values
**Total moment**: 0.00 μB per formula unit
**Electronic total energy**: -3.720 eV per atom
**Energy of formation from the pure elements**: 0.192 eV/atom
**Space-group type**: R-3m, No. 166
**V**: 65.1 Å³/cell

***

Record 5
An optimized crystal structure of Nb2ZnGa4, computed with PBE-GGA.

Geometry as extended XYZ:
```
7
Lattice="-2.361 2.361 6.536 2.361 -2.361 6.536 2.361 2.361 -6.536" Properties=species:S:1:pos:R:3 pbc="T T T"
Nb 0.000 0.000 1.349
Nb 0.000 0.000 11.723
Zn 0.000 0.000 6.536
Ga 2.361 0.000 0.000
Ga 0.000 0.000 4.062
Ga 0.000 2.361 0.000
Ga 0.000 0.000 9.010
```

Calculated values
**Total moment**: 0.00 μB per formula unit
**Electronic total energy**: -4.307 eV per atom
**Energy of formation from the pure elements**: 0.482 eV/atom
**Space-group type**: I4/mmm, No. 139
**V**: 145.8 Å³/cell

***

Record 6
An optimized crystal structure of Nb2Zn2Ga, computed with PBE-GGA.

Geometry as extended XYZ:
```
10
Lattice="6.458 0.000 0.000 0.000 6.458 0.000 0.000 0.000 3.899" Properties=species:S:1:pos:R:3 pbc="T T T"
Nb 1.128 2.101 0.000
Nb 2.101 5.330 0.000
Nb 4.356 1.128 0.000
Nb 5.330 4.356 0.000
Zn 0.833 4.062 1.950
Zn 2.396 0.833 1.950
Zn 4.062 5.625 1.950
Zn 5.625 2.396 1.950
Ga 0.000 0.000 1.950
Ga 3.229 3.229 1.950
```

Calculated values
**Total moment**: 0.00 μB per formula unit
**Electronic total energy**: -5.119 eV per atom
**Energy of formation from the pure elements**: 0.024 eV/atom
**Space-group type**: P4/mbm, No. 127
**V**: 162.6 Å³/cell

***

Record 7
An optimized crystal structure of Nb2ZnGa2, computed with PBE-GGA.

Geometry as extended XYZ:
```
5
Lattice="-1.846 1.846 6.596 1.846 -1.846 6.596 1.846 1.846 -6.596" Properties=species:S:1:pos:R:3 pbc="T T T"
Nb 0.000 0.000 1.223
Nb 0.000 0.000 11.970
Zn 0.000 0.000 6.596
Ga 1.846 0.000 3.298
Ga 0.000 1.846 3.298
```

Calculated values
**Total moment**: 0.00 μB per formula unit
**Electronic total energy**: -5.317 eV per atom
**Energy of formation from the pure elements**: 0.177 eV/atom
**Space-group type**: I4/mmm, No. 139
**V**: 89.9 Å³/cell

***

Record 8
An optimized crystal structure of ZrNbGa, computed with PBE-GGA.

Geometry as extended XYZ:
```
6
Lattice="3.885 0.000 0.000 0.000 3.885 0.000 0.000 0.000 7.630" Properties=species:S:1:pos:R:3 pbc="T T T"
Zr 0.971 0.971 1.087
Zr 2.914 2.914 6.544
Nb 0.971 2.914 3.815
Nb 2.914 0.971 3.815
Ga 0.971 0.971 5.861
Ga 2.914 2.914 1.769
```

Calculated values
**Total moment**: 0.00 μB per formula unit
**Electronic total energy**: -7.655 eV per atom
**Energy of formation from the pure elements**: -0.440 eV/atom
**Space-group type**: P4/nmm, No. 129
**V**: 115.2 Å³/cell

***

Record 9
An optimized crystal structure of Zr3Nb2Ga4, computed with PBE-GGA.

Geometry as extended XYZ:
```
9
Lattice="5.977 -1.942 0.000 5.977 1.942 0.000 -4.017 0.000 7.518" Properties=species:S:1:pos:R:3 pbc="T T T"
Zr 0.000 0.000 0.000
Zr 3.100 0.000 2.330
Zr 4.838 0.000 5.189
Nb 1.201 0.000 4.853
Nb 6.737 0.000 2.666
Ga -0.953 0.000 2.995
Ga -0.209 0.000 7.117
Ga 8.147 0.000 0.402
Ga 8.890 0.000 4.524
```

Calculated values
**Total moment**: 0.00 μB per formula unit
**Electronic total energy**: -6.792 eV per atom
**Energy of formation from the pure elements**: -0.360 eV/atom
**Space-group type**: C2/m, No. 12
**V**: 174.6 Å³/cell

***

Record 10
An optimized crystal structure of Zr2NbGa, computed with PBE-GGA.

Geometry as extended XYZ:
```
4
Lattice="1.600 0.924 9.348 -1.600 0.924 9.348 0.000 -1.848 9.348" Properties=species:S:1:pos:R:3 pbc="T T T"
Zr 0.000 0.000 6.977
Zr 0.000 0.000 21.067
Nb 0.000 0.000 0.000
Ga 0.000 0.000 14.022
```

Calculated values
**Total moment**: 0.00 μB per formula unit
**Electronic total energy**: -7.590 eV per atom
**Energy of formation from the pure elements**: -0.042 eV/atom
**Space-group type**: R-3m, No. 166
**V**: 82.9 Å³/cell

***

Record 11
An optimized crystal structure of ZrNbGa, computed with PBE-GGA.

Geometry as extended XYZ:
```
3
Lattice="4.828 0.000 0.000 -2.414 4.181 0.000 0.000 0.000 2.814" Properties=species:S:1:pos:R:3 pbc="T T T"
Zr 0.000 0.000 0.000
Nb 0.000 2.788 1.032
Ga 2.414 1.394 1.745
```

Calculated values
**Total moment**: 0.00 μB per formula unit
**Electronic total energy**: -7.265 eV per atom
**Energy of formation from the pure elements**: -0.050 eV/atom
**Space-group type**: P3m1, No. 156
**V**: 56.8 Å³/cell

***

Record 12
An optimized crystal structure of Zr2NbGa, computed with PBE-GGA.

Geometry as extended XYZ:
```
8
Lattice="-3.857 3.857 2.808 3.857 -3.857 2.808 3.857 3.857 -2.808" Properties=species:S:1:pos:R:3 pbc="T T T"
Zr 5.786 1.840 -0.702
Zr 1.840 1.929 0.702
Zr -1.929 2.017 2.106
Zr 2.017 1.929 3.510
Nb 3.857 0.000 1.404
Nb 0.000 0.000 2.808
Ga 0.000 0.000 0.000
Ga 0.000 3.857 1.404
```

Calculated values
**Total moment**: 0.00 μB per formula unit
**Electronic total energy**: -7.332 eV per atom
**Energy of formation from the pure elements**: 0.216 eV/atom
**Space-group type**: I-42d, No. 122
**V**: 167.1 Å³/cell

***

Record 13
An optimized crystal structure of Zr2NbGa2, computed with PBE-GGA.

Geometry as extended XYZ:
```
10
Lattice="7.165 0.000 0.000 0.000 7.165 0.000 0.000 0.000 3.714" Properties=species:S:1:pos:R:3 pbc="T T T"
Zr 1.274 2.308 0.000
Zr 2.308 5.891 0.000
Zr 4.857 1.274 0.000
Zr 5.891 4.857 0.000
Nb 0.000 0.000 1.857
Nb 3.583 3.583 1.857
Ga 0.897 4.479 1.857
Ga 2.686 0.897 1.857
Ga 4.479 6.269 1.857
Ga 6.269 2.686 1.857
```

Calculated values
**Total moment**: 0.00 μB per formula unit
**Electronic total energy**: -7.132 eV per atom
**Energy of formation from the pure elements**: -0.488 eV/atom
**Space-group type**: P4/mbm, No. 127
**V**: 190.7 Å³/cell

***

Record 14
An optimized crystal structure of ZrNbGa, computed with PBE-GGA.

Geometry as extended XYZ:
```
3
Lattice="-1.777 1.777 4.443 1.777 -1.777 4.443 1.777 1.777 -4.443" Properties=species:S:1:pos:R:3 pbc="T T T"
Zr 0.000 0.000 0.000
Nb 0.000 0.000 2.805
Ga 0.000 0.000 5.939
```

Calculated values
**Total moment**: 0.00 μB per formula unit
**Electronic total energy**: -7.479 eV per atom
**Energy of formation from the pure elements**: -0.264 eV/atom
**Space-group type**: I4mm, No. 107
**V**: 56.1 Å³/cell

***

Record 15
An optimized crystal structure of Zr2NbGa6, computed with PBE-GGA.

Geometry as extended XYZ:
```
9
Lattice="5.432 -2.765 0.000 5.432 2.765 0.000 -0.556 0.000 5.395" Properties=species:S:1:pos:R:3 pbc="T T T"
Zr 1.618 0.000 0.830
Zr 8.691 0.000 4.565
Nb 5.432 0.000 0.000
Ga 4.205 1.426 1.819
Ga 2.838 0.000 3.729
Ga 6.104 1.426 3.576
Ga 4.205 -1.426 1.819
Ga 7.471 0.000 1.666
Ga 6.104 -1.426 3.576
```

Calculated values
**Total moment**: 0.00 μB per formula unit
**Electronic total energy**: -5.323 eV per atom
**Energy of formation from the pure elements**: -0.286 eV/atom
**Space-group type**: C2/m, No. 12
**V**: 162.1 Å³/cell

***

Record 16
An optimized crystal structure of Zr2NbGa, computed with PBE-GGA.

Geometry as extended XYZ:
```
4
Lattice="4.516 0.000 0.000 0.000 4.516 0.000 0.000 0.000 3.842" Properties=species:S:1:pos:R:3 pbc="T T T"
Zr 0.000 2.258 0.000
Zr 2.258 0.000 0.000
Nb 0.000 0.000 1.921
Ga 2.258 2.258 1.921
```

Calculated values
**Total moment**: 0.00 μB per formula unit
**Electronic total energy**: -7.807 eV per atom
**Energy of formation from the pure elements**: -0.258 eV/atom
**Space-group type**: P4/mmm, No. 123
**V**: 78.3 Å³/cell

***

Record 17
An optimized crystal structure of ZrNb4Ga4, computed with PBE-GGA.

Geometry as extended XYZ:
```
18
Lattice="8.499 0.000 0.000 0.000 8.499 0.000 0.000 0.000 5.180" Properties=species:S:1:pos:R:3 pbc="T T T"
Zr 2.125 2.125 1.295
Zr 6.375 6.375 3.885
Nb 1.002 5.498 0.732
Nb 1.248 7.498 3.322
Nb 3.002 5.251 3.322
Nb 3.248 7.251 0.732
Nb 5.251 1.248 4.448
Nb 5.498 3.248 1.858
Nb 7.251 1.002 1.858
Nb 7.498 3.002 4.448
Ga 0.309 5.093 3.411
Ga 0.844 8.191 0.821
Ga 3.406 4.559 0.821
Ga 3.941 7.656 3.411
Ga 4.559 0.844 1.769
Ga 5.093 3.941 4.360
Ga 7.656 0.309 4.360
Ga 8.191 3.406 1.769
```

Calculated values
**Total moment**: 0.00 μB per formula unit
**Electronic total energy**: -6.639 eV per atom
**Energy of formation from the pure elements**: 0.131 eV/atom
**Space-group type**: P4_2/n, No. 86
**V**: 374.2 Å³/cell

***

Record 18
An optimized crystal structure of ZrNb5Ga6, computed with PBE-GGA.

Geometry as extended XYZ:
```
12
Lattice="3.235 -5.652 0.000 3.235 5.652 0.000 -2.198 0.000 6.101" Properties=species:S:1:pos:R:3 pbc="T T T"
Zr 0.000 0.000 0.000
Nb 2.136 3.815 3.050
Nb 3.235 1.909 0.000
Nb 2.136 0.000 3.050
Nb 3.235 -1.909 0.000
Nb 2.136 -3.815 3.050
Ga 1.095 1.920 1.562
Ga 0.023 0.000 4.575
Ga 1.095 -1.920 1.562
Ga 3.176 1.920 4.538
Ga 4.249 0.000 1.526
Ga 3.176 -1.920 4.538
```

Calculated values
**Total moment**: 0.00 μB per formula unit
**Electronic total energy**: -6.478 eV per atom
**Energy of formation from the pure elements**: -0.057 eV/atom
**Space-group type**: C2/m, No. 12
**V**: 223.1 Å³/cell

***

Record 19
An optimized crystal structure of Zr2NbGa3, computed with PBE-GGA.

Geometry as extended XYZ:
```
12
Lattice="3.260 -5.675 0.000 3.260 5.675 0.000 -2.197 0.000 6.465" Properties=species:S:1:pos:R:3 pbc="T T T"
Zr 0.000 0.000 0.000
Zr 2.161 3.835 3.232
Zr 2.161 0.000 3.232
Zr 2.161 -3.835 3.232
Nb 3.260 1.909 0.000
Nb 3.260 -1.909 0.000
Ga 1.115 1.940 1.557
Ga 0.049 0.000 4.937
Ga 1.115 -1.940 1.557
Ga 3.207 1.940 4.908
Ga 4.274 0.000 1.527
Ga 3.207 -1.940 4.908
```

Calculated values
**Total moment**: 0.00 μB per formula unit
**Electronic total energy**: -6.266 eV per atom
**Energy of formation from the pure elements**: -0.225 eV/atom
**Space-group type**: C2/m, No. 12
**V**: 239.2 Å³/cell

***

Record 20
An optimized crystal structure of ZrNbGa, computed with PBE-GGA.

Geometry as extended XYZ:
```
6
Lattice="-1.940 1.940 7.638 1.940 -1.940 7.638 1.940 1.940 -7.638" Properties=species:S:1:pos:R:3 pbc="T T T"
Zr 0.000 0.000 2.725
Zr 0.000 0.000 12.551
Nb 1.940 0.000 0.000
Nb 0.000 1.940 0.000
Ga 0.000 0.000 5.579
Ga 0.000 0.000 9.696
```

Calculated values
**Total moment**: 0.00 μB per formula unit
**Electronic total energy**: -7.663 eV per atom
**Energy of formation from the pure elements**: -0.448 eV/atom
**Space-group type**: I4/mmm, No. 139
**V**: 115.0 Å³/cell